[1]
The following is a DFT calculation (PBE) of crystalline Ho2Si4NiPt3 at its relaxed geometry.

Computed properties:
* mass density: 10.711 g cm⁻³
* density of states at the Fermi level: 5.9 states/eV per cell
* formation energy from raw total energies: -1.028 eV/atom
* symmetry: P-4m2, No. 115
* total moment: 0.000 μB per atom

Cell lengths 4.1204, 4.1204, 9.9184 Å; angles 90.00, 90.00, 90.00 degrees
Closest atoms and distances in Å follow each position.
Sites, in units of the cell vectors:
Pt (0.5000, 0.0000, 0.8707)  5 Si 2.41-2.43
Ho (0.0000, 0.5000, 0.7446)  8 Si 3.14-3.27, 6 Pt 3.17-3.18, 2 Ni 3.18
Ni (0.5000, 0.5000, 0.5000)  4 Si 2.42
Si (0.0000, 0.5000, 0.3722)  3 Pt 2.41-2.42, 2 Ni 2.42
Pt (0.0000, 0.5000, 0.1293)  5 Si 2.41-2.43
Si (0.0000, 0.0000, 0.0000)  4 Pt 2.43
Ho (0.5000, 0.0000, 0.2554)  8 Si 3.14-3.27, 6 Pt 3.17-3.18, 2 Ni 3.18
Si (0.5000, 0.5000, 0.0000)  4 Pt 2.43
Pt (0.0000, 0.0000, 0.5000)  4 Si 2.42
Si (0.5000, 0.0000, 0.6278)  3 Pt 2.41-2.42, 2 Ni 2.42

---

[2]
The following is a DFT calculation (PBE) of crystalline SmHoNiPt at its relaxed geometry.

Computed properties:
* mass density: 10.824 g cm⁻³
* density of states at the Fermi level: 2.6 states/eV per cell
* symmetry: Amm2, No. 38
* total moment: 0.000 μB per atom
* energy of formation from the pure elements: -832 meV/atom

Cell lengths 3.8619, 4.3895, 5.5000 Å; angles 90.00, 110.55, 90.00 degrees
Closest atoms and distances in Å follow each position.
Sites, in units of the cell vectors:
Pt (0.5759, 0.5000, 0.1518)  2 Ni 2.72, 3 Ho 2.93-2.95, 4 Sm 3.00
Ni (0.4200, 0.0000, 0.8399)  2 Pt 2.72, 3 Sm 2.86-2.99, 4 Ho 2.98
Ho (0.8620, 0.5000, 0.7239)  3 Pt 2.93-2.95, 4 Ni 2.98
Sm (0.1422, 0.0000, 0.2844)  3 Ni 2.86-2.99, 4 Pt 3.00

---

[3]
The following is a DFT calculation (PBE) of crystalline HoThNiPt at its relaxed geometry.

Computed properties:
* mass density: 12.221 g cm⁻³
* density of states at the Fermi level: 3.2 states/eV per cell
* symmetry: Amm2, No. 38
* total moment: 0.000 μB per atom
* distance to the lowest polymorph of the same formula: 0.0000 eV/atom
* energy of formation from the pure elements: -875 meV/atom

Cell lengths 3.7618, 4.2978, 5.7835 Å; angles 90.00, 108.98, 90.00 degrees
Closest atoms and distances in Å follow each position.
Sites, in units of the cell vectors:
Th (0.8653, 0.5000, 0.7306)  4 Ni 2.89, 3 Pt 3.05-3.06
Pt (0.5852, 0.5000, 0.1704)  2 Ni 2.89, 4 Ho 2.92, 3 Th 3.05-3.06
Ni (0.4079, 0.0000, 0.8158)  4 Th 2.89, 2 Pt 2.89, 3 Ho 2.91-3.17
Ho (0.1416, 0.0000, 0.2832)  3 Ni 2.91-3.17, 4 Pt 2.92

---

[4]
The following is a DFT calculation (PBE) of crystalline HoThNiPt at its relaxed geometry.

Computed properties:
* mass density: 12.425 g cm⁻³
* density of states at the Fermi level: 3.2 states/eV per cell
* symmetry: F-43m, No. 216
* total moment: 0.000 μB per atom
* distance to the lowest polymorph of the same formula: 0.1466 eV/atom
* energy of formation from the pure elements: -728 meV/atom

Cell lengths 4.9731, 4.9731, 4.9731 Å; angles 60.00, 60.00, 60.00 degrees
Closest atoms and distances in Å follow each position.
Sites, in units of the cell vectors:
Ni (0.2500, 0.2500, 0.2500)  4 Th 3.05, 4 Ho 3.05
Ho (0.5000, 0.5000, 0.5000)  4 Ni 3.05, 4 Pt 3.05
Th (0.0000, 0.0000, 0.0000)  4 Pt 3.05, 4 Ni 3.05
Pt (0.7500, 0.7500, 0.7500)  4 Ho 3.05, 4 Th 3.05

---

[5]
The following is a DFT calculation (PBE) of crystalline HoTlNiPt at its relaxed geometry.

Computed properties:
* mass density: 13.650 g cm⁻³
* density of states at the Fermi level: 3.5 states/eV per cell
* symmetry: F-43m, No. 216
* total moment: 0.000 μB per atom
* energy of formation from the pure elements: -454 meV/atom

Cell lengths 4.7503, 4.7503, 4.7503 Å; angles 60.00, 60.00, 60.00 degrees
Closest atoms and distances in Å follow each position.
Sites, in units of the cell vectors:
Pt (0.7500, 0.7500, 0.7500)  4 Tl 2.91, 4 Ho 2.91
Tl (0.0000, 0.0000, 0.0000)  4 Pt 2.91, 4 Ni 2.91
Ho (0.5000, 0.5000, 0.5000)  4 Ni 2.91, 4 Pt 2.91
Ni (0.2500, 0.2500, 0.2500)  4 Tl 2.91, 4 Ho 2.91

---

[6]
The following is a DFT calculation (PBE) of crystalline HoTmNiPt at its relaxed geometry.

Computed properties:
* mass density: 12.245 g cm⁻³
* density of states at the Fermi level: 3.2 states/eV per cell
* symmetry: F-43m, No. 216
* total moment: 0.000 μB per atom
* distance to the lowest polymorph of the same formula: 0.0484 eV/atom
* energy of formation from the pure elements: -855 meV/atom

Cell lengths 4.8303, 4.8303, 4.8303 Å; angles 60.00, 60.00, 60.00 degrees
Closest atoms and distances in Å follow each position.
Sites, in units of the cell vectors:
Ho (0.0000, 0.0000, 0.0000)  4 Ni 2.96, 4 Pt 2.96
Pt (0.7500, 0.7500, 0.7500)  4 Ho 2.96, 4 Tm 2.96
Tm (0.5000, 0.5000, 0.5000)  4 Ni 2.96, 4 Pt 2.96
Ni (0.2500, 0.2500, 0.2500)  4 Tm 2.96, 4 Ho 2.96

---

[7]
The following is a DFT calculation (PBE) of crystalline HoTmNiPt at its relaxed geometry.

Computed properties:
* mass density: 11.746 g cm⁻³
* density of states at the Fermi level: 2.8 states/eV per cell
* symmetry: Amm2, No. 38
* total moment: 0.000 μB per atom
* distance to the lowest polymorph of the same formula: 0.0000 eV/atom
* energy of formation from the pure elements: -904 meV/atom

Cell lengths 3.7844, 4.2861, 5.4600 Å; angles 90.00, 110.28, 90.00 degrees
Closest atoms and distances in Å follow each position.
Sites, in units of the cell vectors:
Ni (0.4197, 0.0000, 0.8395)  2 Pt 2.69, 3 Ho 2.85-2.96, 4 Tm 2.92
Tm (0.8607, 0.5000, 0.7215)  3 Pt 2.90-2.92, 4 Ni 2.92
Ho (0.1418, 0.0000, 0.2835)  3 Ni 2.85-2.96, 4 Pt 2.93
Pt (0.5777, 0.5000, 0.1555)  2 Ni 2.69, 3 Tm 2.90-2.92, 4 Ho 2.93

---

[8]
The following is a DFT calculation (PBE) of crystalline HoZnNiPt at its relaxed geometry.

Computed properties:
* mass density: 11.867 g cm⁻³
* density of states at the Fermi level: 2.5 states/eV per cell
* symmetry: F-43m, No. 216
* total moment: 0.000 μB per atom
* energy of formation from the pure elements: -608 meV/atom

Cell lengths 4.5757, 4.5757, 4.5757 Å; angles 60.00, 60.00, 60.00 degrees
Closest atoms and distances in Å follow each position.
Sites, in units of the cell vectors:
Zn (0.0000, 0.0000, 0.0000)  4 Ni 2.80, 4 Pt 2.80
Ho (0.5000, 0.5000, 0.5000)  4 Ni 2.80, 4 Pt 2.80
Pt (0.7500, 0.7500, 0.7500)  4 Ho 2.80, 4 Zn 2.80
Ni (0.2500, 0.2500, 0.2500)  4 Ho 2.80, 4 Zn 2.80

---

[9]
The following is a DFT calculation (PBE) of crystalline HoZrNiPt at its relaxed geometry.

Computed properties:
* mass density: 11.165 g cm⁻³
* density of states at the Fermi level: 2.9 states/eV per cell
* symmetry: F-43m, No. 216
* total moment: 0.000 μB per atom
* energy of formation from the pure elements: -698 meV/atom

Cell lengths 4.7513, 4.7513, 4.7513 Å; angles 60.00, 60.00, 60.00 degrees
Closest atoms and distances in Å follow each position.
Sites, in units of the cell vectors:
Pt (0.0000, 0.0000, 0.0000)  4 Zr 2.91, 4 Ho 2.91
Ho (0.7500, 0.7500, 0.7500)  4 Ni 2.91, 4 Pt 2.91
Ni (0.5000, 0.5000, 0.5000)  4 Ho 2.91, 4 Zr 2.91
Zr (0.2500, 0.2500, 0.2500)  4 Ni 2.91, 4 Pt 2.91

---

[10]
The following is a DFT calculation (PBE) of crystalline HoPu3Ni8 at its relaxed geometry.

Computed properties:
* mass density: 12.492 g cm⁻³
* density of states at the Fermi level: 32.9 states/eV per cell
* symmetry: R3m, No. 160
* total moment: 1.273 μB per atom
* energy of formation from the pure elements: -311 meV/atom

Cell lengths 5.0467, 5.0467, 8.7353 Å; angles 73.21, 73.21, 60.00 degrees
Closest atoms and distances in Å follow each position.
Sites, in units of the cell vectors:
Pu (0.4968, 0.4968, 0.5097)  12 Ni 2.91-3.01, 1 Pu 3.05, 3 Ho 3.13
Pu (0.3734, 0.3734, 0.8799)  12 Ni 2.94-2.99, 4 Pu 3.05
Ni (0.4397, 0.9376, 0.6851)  6 Ni 2.51-2.54
Ni (0.4377, 0.4377, 0.1896)  6 Ni 2.51-2.54
Ni (0.9376, 0.9376, 0.6851)  6 Ni 2.51-2.54
Pu (0.0034, 0.0034, 0.9898)  12 Ni 2.90-3.01, 3 Pu 3.05, 1 Ho 3.14
Ni (0.4377, 0.9350, 0.1896)  6 Ni 2.51-2.54
Ni (0.9350, 0.4377, 0.1896)  6 Ni 2.51-2.54
Ho (0.8764, 0.8764, 0.3707)  12 Ni 2.93-2.97, 4 Pu 3.13-3.14
Ni (0.9376, 0.4397, 0.6851)  6 Ni 2.51-2.54
Ni (0.1875, 0.1875, 0.4376)  6 Ni 2.51
Ni (0.6873, 0.6873, 0.9381)  6 Ni 2.53-2.54

---

[11]
The following is a DFT calculation (PBE) of crystalline Ho2PuNi at its relaxed geometry.

Computed properties:
* mass density: 10.776 g cm⁻³
* density of states at the Fermi level: 8.0 states/eV per cell
* symmetry: P4/mmm, No. 123
* total moment: 1.669 μB per atom
* distance to the lowest polymorph of the same formula: 0.0000 eV/atom
* energy of formation from the pure elements: -119 meV/atom

Cell lengths 3.3877, 3.3877, 8.4933 Å; angles 90.00, 90.00, 90.00 degrees
Closest atoms and distances in Å follow each position.
Sites, in units of the cell vectors:
Ho (0.0000, 0.0000, 0.8093)  4 Ni 2.89
Ho (0.0000, 0.0000, 0.1907)  4 Ni 2.89
Ni (0.5000, 0.5000, 0.0000)  8 Ho 2.89
Pu (0.5000, 0.5000, 0.5000)  4 Pu 3.39, 8 Ho 3.56

---

[12]
The following is a DFT calculation (PBE) of crystalline HoPuNi2 at its relaxed geometry.

Computed properties:
* mass density: 11.620 g cm⁻³
* density of states at the Fermi level: 11.3 states/eV per cell
* symmetry: P4/mmm, No. 123
* total moment: 1.318 μB per atom
* energy of formation from the pure elements: -212 meV/atom

Cell lengths 3.2540, 4.8077, 4.8077 Å; angles 90.00, 90.00, 90.00 degrees
Closest atoms and distances in Å follow each position.
Sites, in units of the cell vectors:
Ho (0.5000, 0.0000, 0.0000)  8 Ni 2.90
Ni (0.0000, 0.0000, 0.5000)  4 Ho 2.90, 4 Pu 2.90
Ni (0.0000, 0.5000, 0.0000)  4 Ho 2.90, 4 Pu 2.90
Pu (0.5000, 0.5000, 0.5000)  8 Ni 2.90

---

[13]
The following is a DFT calculation (PBE) of crystalline HoPu2Ni at its relaxed geometry.

Computed properties:
* mass density: 12.326 g cm⁻³
* density of states at the Fermi level: 13.7 states/eV per cell
* symmetry: P4/mmm, No. 123
* total moment: 2.904 μB per atom
* distance to the lowest polymorph of the same formula: 0.0000 eV/atom
* energy of formation from the pure elements: 77 meV/atom

Cell lengths 3.4582, 3.4582, 8.0162 Å; angles 90.00, 90.00, 90.00 degrees
Closest atoms and distances in Å follow each position.
Sites, in units of the cell vectors:
Ni (0.5000, 0.5000, 0.0000)  8 Pu 2.89
Pu (0.0000, 0.0000, 0.8076)  4 Ni 2.89, 1 Pu 3.09
Pu (0.0000, 0.0000, 0.1924)  4 Ni 2.89, 1 Pu 3.09
Ho (0.5000, 0.5000, 0.5000)  4 Ho 3.46, 8 Pu 3.47